Material: LaPmSnRh
Method: DFT, GGA-PBE
State: optimized geometry

Cell: 5.304 5.304 5.304 Å, 60.00 60.00 60.00°
Sites, in units of the cell vectors:
La  0.500  0.500  0.500
Rh  0.750  0.750  0.750
Sn  0.250  0.250  0.250
Pm  0.000  0.000  0.000

energy of formation: -218 kJ/mol of formula units



Material: LaPm2Ru2
Method: DFT, GGA-PBE
State: optimized geometry

Cell: 4.345 5.929 5.931 Å, 62.94 68.50 68.50°
Sites, in units of the cell vectors:
Pm  0.308  0.192  0.692
La  0.500  0.500  0.000
Ru  0.000  0.226  0.273
Ru  0.000  0.774  0.727
Pm  0.692  0.808  0.308

distance to the lowest polymorph of the same formula: 0.000 eV/f.u.
energy of formation: -96 kJ/mol of formula units



Material: LaPm5Ru3
Method: DFT, GGA-PBE
State: optimized geometry

Cell: 7.840 7.840 10.234 Å, 71.70 71.70 72.98°
Sites, in units of the cell vectors:
Ru  0.329  0.329  0.665
Pm  0.565  0.565  0.634
Pm  0.634  0.032  0.668
Pm  0.032  0.634  0.668
Pm  0.766  0.766  0.034
Pm  0.234  0.234  0.966
Pm  0.968  0.366  0.332
Pm  0.366  0.968  0.332
La  0.899  0.899  0.300
Ru  0.671  0.671  0.335
Pm  0.435  0.435  0.366
Ru  0.333  0.333  0.167
Pm  0.698  0.302  0.000
Pm  0.302  0.698  0.000
Ru  0.000  0.000  0.000
Ru  0.000  0.000  0.500
La  0.101  0.101  0.700
Ru  0.667  0.667  0.833

energy of formation: -149 kJ/mol of formula units



Material: La3PmRu2
Method: DFT, GGA-PBE
State: optimized geometry

Cell: 4.269 8.788 10.654 Å, 73.38 78.44 75.94°
Sites, in units of the cell vectors:
La  0.791  0.832  0.587
Pm  0.574  0.523  0.328
La  0.325  0.311  0.040
Ru  0.870  0.400  0.860
La  0.209  0.168  0.413
La  0.947  0.887  0.218
Ru  0.619  0.183  0.578
Ru  0.381  0.817  0.422
Ru  0.130  0.600  0.140
Pm  0.426  0.477  0.672
La  0.675  0.689  0.960
La  0.053  0.113  0.782

energy of formation: -131 kJ/mol of formula units



Material: LaPm8Ru2
Method: DFT, GGA-PBE
State: optimized geometry

Cell: 5.766 8.226 8.226 Å, 115.62 95.82 95.82°
Sites, in units of the cell vectors:
Pm  0.288  0.592  0.592
La  0.500  0.000  0.000
Pm  0.061  0.077  0.337
Pm  0.939  0.663  0.923
Ru  0.000  0.297  0.703
Ru  0.000  0.703  0.297
Pm  0.939  0.923  0.663
Pm  0.500  0.260  0.740
Pm  0.061  0.337  0.077
Pm  0.500  0.740  0.260
Pm  0.712  0.408  0.408

energy of formation: -35 kJ/mol of formula units



Material: LaPm7Ru2
Method: DFT, GGA-PBE
State: optimized geometry

Cell: 5.535 8.435 8.435 Å, 117.21 90.00 90.00°
Sites, in units of the cell vectors:
La  0.000  0.000  0.000
Pm  0.000  0.702  0.298
Ru  0.500  0.703  0.297
Pm  0.500  0.500  0.500
Pm  0.500  0.058  0.328
Pm  0.000  0.298  0.702
Ru  0.500  0.297  0.703
Pm  0.500  0.328  0.058
Pm  0.500  0.942  0.672
Pm  0.500  0.672  0.942

energy of formation: 45 kJ/mol of formula units



Ordered calculated volume results: 105.5, 122.9, 553.6, 367.8, 345.4, 350.2; unit Å³ per cell.